[1]
! La4S5Cl PBE optimized geometry; values from VASP
! Total energy   -124.89 eV per cell
! SG   Pmmn
! Energy relative to the elements, uncorrected   -2.03 eV/atom
! Total moment   2.01 μB per cell
&SYSTEM
  ibrav = 0, nat = 20, ntyp = 3
/
ATOMIC_SPECIES
La 138.91 La.upf
S 32.06 S.upf
Cl 35.45 Cl.upf
ATOMIC_POSITIONS crystal
La 0.530 0.269 0.000
La 0.470 0.231 0.500
La 0.984 0.000 0.733
La 0.984 0.000 0.267
La 0.016 0.500 0.233
La 0.016 0.500 0.767
La 0.530 0.731 0.000
La 0.470 0.769 0.500
S 0.251 0.760 0.789
S 0.251 0.240 0.211
S 0.749 0.260 0.711
S 0.749 0.740 0.711
S 0.784 0.500 0.000
S 0.749 0.260 0.289
S 0.251 0.760 0.211
S 0.251 0.240 0.789
S 0.749 0.740 0.289
S 0.216 0.000 0.500
Cl 0.764 0.000 0.000
Cl 0.236 0.500 0.500
CELL_PARAMETERS angstrom
6.993 0.000 0.000
0.000 9.154 0.000
0.000 0.000 9.567

[2]
! La2SCl2 PBE optimized geometry; values from VASP
! Total energy   -54.05 eV per cell
! SG   P4/mbm
! Energy relative to the elements, uncorrected   -1.87 eV/atom
! Total moment   0.00 μB per cell
&SYSTEM
  ibrav = 0, nat = 10, ntyp = 3
/
ATOMIC_SPECIES
Cl 35.45 Cl.upf
La 138.91 La.upf
S 32.06 S.upf
ATOMIC_POSITIONS crystal
Cl 0.358 0.142 0.500
Cl 0.642 0.858 0.500
Cl 0.858 0.358 0.500
Cl 0.142 0.642 0.500
La 0.834 0.666 0.000
La 0.166 0.334 0.000
La 0.666 0.166 0.000
La 0.334 0.834 0.000
S 0.500 0.500 0.000
S 0.000 0.000 0.000
CELL_PARAMETERS angstrom
-1.744 -2.291 7.083
2.016 -7.149 -1.816
4.118 0.835 1.284

[3]
! LaS2Cl PBE optimized geometry; values from VASP
! Total energy   -41.13 eV per cell
! SG   I-42d
! Energy relative to the elements, uncorrected   -1.38 eV/atom
! Distance to the lowest polymorph of the same formula   0 meV per atom
! Total moment   0.00 μB per cell
&SYSTEM
  ibrav = 0, nat = 8, ntyp = 3
/
ATOMIC_SPECIES
La 138.91 La.upf
S 32.06 S.upf
Cl 35.45 Cl.upf
ATOMIC_POSITIONS crystal
La 0.000 0.000 0.000
La 0.750 0.250 0.500
S 0.875 0.054 0.750
S 0.375 0.196 0.750
S 0.946 0.625 0.250
S 0.804 0.125 0.250
Cl 0.500 0.500 0.000
Cl 0.250 0.750 0.500
CELL_PARAMETERS angstrom
-4.167 -1.280 -1.085
0.092 -3.074 3.275
-5.910 4.791 7.744